Entry from Alexandria via LeMat-Bulk: a relaxed GaW2AuF crystal (PBE+U).

Computed properties:
* E_tot: -3.499 eV/atom
* density of states at the Fermi level: 0.658 states/eV per atom

a b c (Å): 4.2001 4.2001 4.9141
angles (deg): 90.00 90.00 90.00
With the nearest neighbours (Å) after each atom.
Space group P4/mmm (No. 123)
Unique sites:
1 Ga 0.0000 0.0000 0.0000 (multiplicity 1)  4 Au 2.97, 8 W 3.23
2 W 0.0000 0.5000 0.5000 (multiplicity 2)  2 F 2.10
3 Au 0.5000 0.5000 0.0000 (multiplicity 1)  2 F 2.46
4 F 0.5000 0.5000 0.5000 (multiplicity 1)  4 W 2.10